Entry 1:
First-principles (GGA-PBE) data for crystalline MgTl3Ag3Cl8 at its relaxed geometry, as listed in Alexandria.

Values from the calculation:
Formation energy from raw total energies = -933.2 meV/atom
Calculated volume = 420.8 Å³ per cell

a = 8.0780 Å, b = 8.1413 Å, c = 8.7279 Å
α = 117.73°, β = 90.00°, γ = 119.74°
Sites, in units of the cell vectors:
1 Mg 0.0000 0.0000 0.5000
2 Tl 0.0000 0.0000 0.0000
3 Tl 0.0000 0.5000 0.0000
4 Tl 0.5000 0.5000 0.0000
5 Ag 0.5000 0.0000 0.5000
6 Ag 0.5000 0.5000 0.5000
7 Ag 0.0000 0.5000 0.5000
8 Cl 0.2646 0.5292 0.2986
9 Cl 0.7354 0.4708 0.7014
10 Cl 0.7848 0.5697 0.3087
11 Cl 0.2152 0.4303 0.6913
12 Cl 0.7817 0.0206 0.3063
13 Cl 0.2183 0.9794 0.6937
14 Cl 0.2390 0.0206 0.3063
15 Cl 0.7610 0.9794 0.6937

---

Entry 2:
First-principles (GGA-PBE) data for crystalline LiSm5Hg4 at its relaxed geometry, as listed in Alexandria.

Values from the calculation:
Calculated volume = 271.9 Å³ per cell
ΔE_f = -0.361 eV/atom

a = 3.8180 Å, b = 3.8180 Å, c = 18.6524 Å
α = 90.00°, β = 90.00°, γ = 90.00°
Last column: magnetic moment on the atom in μB.
Sites, in units of the cell vectors:
1 Li 0.0000 0.0000 0.0000  0.00
2 Sm 0.5000 0.5000 0.1011  0.09
3 Sm 0.5000 0.5000 0.3000  0.20
4 Sm 0.5000 0.5000 0.5000  0.22
5 Sm 0.5000 0.5000 0.7000  0.20
6 Sm 0.5000 0.5000 0.8989  0.09
7 Hg 0.0000 0.0000 0.1951  0.01
8 Hg 0.0000 0.0000 0.3988  0.02
9 Hg 0.0000 0.0000 0.6012  0.02
10 Hg 0.0000 0.0000 0.8049  0.01

---

Entry 3:
First-principles (GGA-PBE) data for crystalline Dy7Hg4Pb at its relaxed geometry, as listed in Alexandria.

Values from the calculation:
Calculated volume = 343.4 Å³ per cell
ΔE_f = -0.250 eV/atom

a = 5.7525 Å, b = 9.0662 Å, c = 8.0788 Å
α = 62.54°, β = 69.14°, γ = 71.50°
Sites, in units of the cell vectors:
1 Dy 0.8307 0.8803 0.4584
2 Dy 0.1693 0.1197 0.5416
3 Dy 0.0738 0.6004 0.2521
4 Dy 0.9262 0.3996 0.7479
5 Dy 0.2847 0.6651 0.7655
6 Dy 0.5000 0.0000 0.0000
7 Dy 0.7153 0.3349 0.2345
8 Hg 0.5272 0.3131 0.6325
9 Hg 0.4728 0.6869 0.3675
10 Hg 0.7015 0.6884 0.9087
11 Hg 0.2985 0.3116 0.0913
12 Pb 0.0000 0.0000 0.0000

---

Entry 4:
First-principles (GGA-PBE) data for crystalline ZrIn2Sb at its relaxed geometry, as listed in Alexandria.

Values from the calculation:
Formation energy from raw total energies = -86.5 meV/atom
Calculated volume = 101.9 Å³ per cell

a = 10.2065 Å, b = 10.2065 Å, c = 10.2065 Å
α = 19.33°, β = 19.33°, γ = 19.33°
Sites, in units of the cell vectors:
1 In 0.0046 0.0046 0.0046
2 In 0.2512 0.2512 0.2512
3 Sb 0.4932 0.4932 0.4932
4 Zr 0.7509 0.7509 0.7509

---

Entry 5:
First-principles (GGA-PBE) data for crystalline Li4Tm3AlS8 at its relaxed geometry, as listed in Alexandria.

Values from the calculation:
Formation energy from raw total energies = -1662.9 meV/atom
Calculated volume = 303.7 Å³ per cell

a = 7.5588 Å, b = 7.5333 Å, c = 7.5585 Å
α = 120.13°, β = 120.00°, γ = 90.00°
Sites, in units of the cell vectors:
1 Li 0.5000 0.0000 0.0000
2 Li 0.5000 0.0000 0.5000
3 Li 0.0000 0.0000 0.0000
4 Li 0.0000 0.0000 0.5000
5 Tm 0.5000 0.5000 0.0000
6 Tm 0.5000 0.5000 0.5000
7 Tm 0.0000 0.5000 0.5000
8 Al 0.0000 0.5000 0.0000
9 S 0.2359 0.7397 0.0038
10 S 0.2362 0.7399 0.4725
11 S 0.2499 0.2497 0.4997
12 S 0.7679 0.7397 0.0038
13 S 0.2321 0.2603 0.9962
14 S 0.7501 0.7503 0.5003
15 S 0.7638 0.2601 0.5275
16 S 0.7641 0.2603 0.9962

---

Entry 6:
First-principles (GGA-PBE) data for crystalline LiThAgPd at its relaxed geometry, as listed in Alexandria.

Values from the calculation:
Calculated volume = 86.0 Å³ per cell
ΔE_f = -0.293 eV/atom

a = 4.9537 Å, b = 4.9537 Å, c = 4.9537 Å
α = 60.00°, β = 60.00°, γ = 60.00°
Sites, in units of the cell vectors:
1 Pd 0.2500 0.2500 0.2500
2 Ag 0.7500 0.7500 0.7500
3 Th 0.5000 0.5000 0.5000
4 Li 0.0000 0.0000 0.0000

---

Entry 7:
First-principles (GGA-PBE) data for crystalline Li2NdMgAu2 at its relaxed geometry, as listed in Alexandria.

Values from the calculation:
Calculated volume = 120.8 Å³ per cell
ΔE_f = -0.544 eV/atom

a = 4.5575 Å, b = 4.5575 Å, c = 6.7183 Å
α = 90.00°, β = 90.00°, γ = 120.00°
Sites, in units of the cell vectors:
1 Li 0.3333 0.6667 0.6789
2 Li 0.6667 0.3333 0.3211
3 Nd 0.0000 0.0000 0.0000
4 Mg 0.0000 0.0000 0.5000
5 Au 0.3333 0.6667 0.2767
6 Au 0.6667 0.3333 0.7233

---

Entry 8:
First-principles (GGA-PBE) data for crystalline Zr2Sb2Pd at its relaxed geometry, as listed in Alexandria.

Values from the calculation:
Formation energy from raw total energies = -399.7 meV/atom
Calculated volume = 227.9 Å³ per cell
Energy relative to the lowest polymorph listed for this composition = 0.105 eV/atom

a = 7.5211 Å, b = 7.5211 Å, c = 4.0279 Å
α = 90.00°, β = 90.00°, γ = 90.00°
Sites, in units of the cell vectors:
1 Sb 0.1532 0.6532 0.5000
2 Sb 0.6532 0.8468 0.5000
3 Sb 0.8468 0.3468 0.5000
4 Sb 0.3468 0.1532 0.5000
5 Zr 0.3473 0.8473 0.0000
6 Zr 0.8473 0.6527 0.0000
7 Zr 0.6527 0.1527 0.0000
8 Zr 0.1527 0.3473 0.0000
9 Pd 0.0000 0.0000 0.0000
10 Pd 0.5000 0.5000 0.0000

---

Entry 9:
First-principles (GGA-PBE) data for crystalline ErMgPd14 at its relaxed geometry, as listed in Alexandria.

Values from the calculation:
Calculated volume = 254.9 Å³ per cell
ΔE_f = -0.330 eV/atom

a = 5.6547 Å, b = 5.6547 Å, c = 7.9717 Å
α = 90.00°, β = 90.00°, γ = 89.99°
Sites, in units of the cell vectors:
1 Er 0.8750 0.8750 0.5000
2 Mg 0.3750 0.3750 0.5000
3 Pd 0.8750 0.8750 0.0000
4 Pd 0.3750 0.3750 0.0000
5 Pd 0.8750 0.3750 0.5000
6 Pd 0.8750 0.3750 0.0000
7 Pd 0.3750 0.8750 0.5000
8 Pd 0.3750 0.8750 0.0000
9 Pd 0.6229 0.1271 0.2468
10 Pd 0.6229 0.1271 0.7532
11 Pd 0.1271 0.6229 0.2468
12 Pd 0.1271 0.6229 0.7532
13 Pd 0.6229 0.6229 0.2468
14 Pd 0.6229 0.6229 0.7532
15 Pd 0.1271 0.1271 0.2468
16 Pd 0.1271 0.1271 0.7532

---

Entry 10:
First-principles (GGA-PBE) data for crystalline NaSrBe at its relaxed geometry, as listed in Alexandria.

Values from the calculation:
Calculated volume = 203.2 Å³ per cell
Energy relative to the lowest polymorph listed for this composition = 0.000 eV/atom
ΔE_f = 0.211 eV/atom

a = 4.1235 Å, b = 4.1235 Å, c = 13.7967 Å
α = 90.00°, β = 90.00°, γ = 120.00°
Sites, in units of the cell vectors:
1 Sr 0.0000 0.0000 0.3541
2 Sr 0.0000 0.0000 0.6459
3 Be 0.3333 0.6667 0.5003
4 Be 0.6667 0.3333 0.4997
5 Na 0.3333 0.6667 0.8939
6 Na 0.6667 0.3333 0.1061

---

Entry 11:
First-principles (GGA-PBE) data for crystalline KHoBeS3 at its relaxed geometry, as listed in Alexandria.

Values from the calculation:
Formation energy from raw total energies = -1565.6 meV/atom
Calculated volume = 294.5 Å³ per cell

a = 3.8451 Å, b = 8.8869 Å, c = 9.0724 Å
α = 108.22°, β = 90.00°, γ = 90.00°
Sites, in units of the cell vectors:
1 K 0.2500 0.1990 0.2302
2 K 0.7500 0.8010 0.7698
3 Ho 0.2500 0.6664 0.1500
4 Ho 0.7500 0.3336 0.8500
5 Be 0.2500 0.0755 0.6026
6 Be 0.7500 0.9245 0.3974
7 S 0.7500 0.8851 0.1605
8 S 0.2500 0.1149 0.8395
9 S 0.2500 0.8322 0.4710
10 S 0.7500 0.1678 0.5290
11 S 0.7500 0.4573 0.1622
12 S 0.2500 0.5427 0.8378

---

Entry 12:
First-principles (GGA-PBE) data for crystalline La5NdHo at its relaxed geometry, as listed in Alexandria.

Values from the calculation:
Calculated volume = 500.3 Å³ per cell
Energy relative to the lowest polymorph listed for this composition = 0.000 eV/atom
ΔE_f = 0.131 eV/atom

a = 6.9547 Å, b = 6.9547 Å, c = 13.8142 Å
α = 63.89°, β = 63.89°, γ = 60.47°
Sites, in units of the cell vectors:
1 La 0.8504 0.5876 0.2598
2 La 0.3509 0.3031 0.4975
3 La 0.5876 0.8504 0.7598
4 La 0.2914 0.7086 0.2500
5 La 0.6969 0.6491 0.0025
6 La 0.3031 0.3509 0.9975
7 La 0.7086 0.2914 0.7500
8 La 0.4124 0.1496 0.2402
9 La 0.6491 0.6969 0.5025
10 La 0.1496 0.4124 0.7402
11 Nd 0.8491 0.1509 0.2500
12 Nd 0.1509 0.8491 0.7500
13 Ho 0.0000 0.0000 0.0000
14 Ho 0.0000 0.0000 0.5000

---

- Which value of calculated volume does entry 9 give?
  254.9 Å³ per cell

---

- calculated volume of number 9 (ErMgPd14)?
  254.9 Å³ per cell

---

- The lowest calculated volume belongs to which entry?
  LiThAgPd

---

- Which value of calculated volume does entry 2 give?
  271.9 Å³ per cell